Material: Ti2CuWF
Method: DFT, GGA+U
State: relaxed

Structure (POSCAR):
```
Ti2CuWF
1.0
-0.924 -2.261 4.323
1.457 -3.089 -1.304
4.459 1.394 1.682
Ti F W Cu
2 1 1 1
Direct
0.000 0.000 0.500
0.500 0.000 0.000
0.000 0.500 0.000
0.500 0.500 0.500
0.000 0.000 0.000
```

- magnetic moment (μB/cell) = 0.2
- space group = No. 123
- calculated volume (Å³/f.u.) = 90
- electronic total energy (eV/atom) = -5.086